# 1
Below is a relaxed structure of HoTmPt, with properties calculated at the PBE level.

Unit cell a=3.585 b=15.817 c=5.082 alpha=90.00 beta=90.00 gamma=90.00
Atoms (fractional coordinates):
Ho 0.000 0.074 0.250
Ho 0.000 0.926 0.750
Ho 0.500 0.426 0.750
Ho 0.500 0.574 0.250
Tm 0.000 0.217 0.750
Tm 0.000 0.783 0.250
Tm 0.500 0.283 0.250
Tm 0.500 0.717 0.750
Pt 0.000 0.424 0.250
Pt 0.000 0.576 0.750
Pt 0.500 0.076 0.750
Pt 0.500 0.924 0.250

## Properties
**Total DFT energy (no corrections)**: -5.8769 eV per atom
**Formation enthalpy at 0 K**: -847 meV/atom
**SG**: No. 63
**Magnetic moment**: 0.0000 μB/atom

# 2
Below is a relaxed structure of HoTmPt2, with properties calculated at the PBE level.

Unit cell a=3.748 b=4.424 c=5.576 alpha=90.00 beta=109.72 gamma=90.00
Atoms (fractional coordinates):
Ho 0.000 0.000 0.000
Tm 0.277 0.500 0.554
Pt 0.551 0.500 0.102
Pt 0.727 0.000 0.455

## Properties
**Total DFT energy (no corrections)**: -6.5928 eV per atom
**Formation enthalpy at 0 K**: -1310 meV/atom
**SG**: No. 6
**Magnetic moment**: 0.0000 μB/atom

# 3
Below is a relaxed structure of HoTm5Pt2, with properties calculated at the PBE level.

Unit cell a=4.058 b=7.285 c=15.081 alpha=90.00 beta=90.00 gamma=90.00
Atoms (fractional coordinates):
Ho 0.000 0.000 0.000
Ho 0.500 0.500 0.500
Tm 0.000 0.252 0.347
Tm 0.000 0.252 0.653
Tm 0.000 0.500 0.000
Tm 0.000 0.748 0.347
Tm 0.000 0.748 0.653
Tm 0.500 0.000 0.500
Tm 0.500 0.248 0.153
Tm 0.500 0.248 0.847
Tm 0.500 0.752 0.153
Tm 0.500 0.752 0.847
Pt 0.000 0.500 0.195
Pt 0.000 0.500 0.805
Pt 0.500 0.000 0.305
Pt 0.500 0.000 0.695

## Properties
**Total DFT energy (no corrections)**: -5.5067 eV per atom
**Formation enthalpy at 0 K**: -630 meV/atom
**SG**: No. 71
**Magnetic moment**: 0.0000 μB/atom

# 4
Below is a relaxed structure of HoTmZnPt, with properties calculated at the PBE level.

Unit cell a=6.985 b=6.985 c=6.985 alpha=90.00 beta=90.00 gamma=90.00
Atoms (fractional coordinates):
Ho 0.000 0.000 0.000
Ho 0.000 0.500 0.500
Ho 0.500 0.000 0.500
Ho 0.500 0.500 0.000
Tm 0.000 0.000 0.500
Tm 0.000 0.500 0.000
Tm 0.500 0.000 0.000
Tm 0.500 0.500 0.500
Zn 0.250 0.250 0.250
Zn 0.250 0.750 0.750
Zn 0.750 0.250 0.750
Zn 0.750 0.750 0.250
Pt 0.250 0.250 0.750
Pt 0.250 0.750 0.250
Pt 0.750 0.250 0.250
Pt 0.750 0.750 0.750

## Properties
**Total DFT energy (no corrections)**: -4.9124 eV per atom
**Formation enthalpy at 0 K**: -821 meV/atom
**SG**: No. 216
**Magnetic moment**: 0.0000 μB/atom

# 5
Below is a relaxed structure of HoTmZnPt, with properties calculated at the PBE level.

Unit cell a=3.519 b=3.519 c=6.890 alpha=90.00 beta=90.00 gamma=90.00
Atoms (fractional coordinates):
Ho 0.000 0.000 0.000
Tm 0.000 0.000 0.486
Zn 0.500 0.500 0.739
Pt 0.500 0.500 0.248

## Properties
**Total DFT energy (no corrections)**: -4.9266 eV per atom
**Formation enthalpy at 0 K**: -836 meV/atom
**SG**: No. 99
**Magnetic moment**: 0.0000 μB/atom

# 6
Below is a relaxed structure of HoUPt4, with properties calculated at the PBE level.

Unit cell a=5.430 b=5.430 c=5.430 alpha=60.00 beta=60.00 gamma=60.00
Atoms (fractional coordinates):
Ho 0.000 0.000 0.000
U 0.250 0.250 0.250
Pt 0.124 0.625 0.625
Pt 0.625 0.124 0.625
Pt 0.625 0.625 0.124
Pt 0.625 0.625 0.625

## Properties
**Total DFT energy (no corrections)**: -7.5262 eV per atom
**Formation enthalpy at 0 K**: -855 meV/atom
**SG**: No. 216
**Magnetic moment**: 0.4182 μB/atom

# 7
Below is a relaxed structure of Ho3UPt12, with properties calculated at the PBE level.

Unit cell a=4.123 b=4.123 c=16.448 alpha=90.00 beta=90.00 gamma=90.00
Atoms (fractional coordinates):
Ho 0.000 0.000 0.000
Ho 0.000 0.000 0.247
Ho 0.000 0.000 0.753
U 0.000 0.000 0.500
Pt 0.000 0.500 0.125
Pt 0.000 0.500 0.377
Pt 0.000 0.500 0.623
Pt 0.000 0.500 0.875
Pt 0.500 0.000 0.125
Pt 0.500 0.000 0.377
Pt 0.500 0.000 0.623
Pt 0.500 0.000 0.875
Pt 0.500 0.500 0.000
Pt 0.500 0.500 0.250
Pt 0.500 0.500 0.500
Pt 0.500 0.500 0.750

## Properties
**Total DFT energy (no corrections)**: -7.0913 eV per atom
**Formation enthalpy at 0 K**: -997 meV/atom
**SG**: No. 123
**Magnetic moment**: 0.0573 μB/atom

# 8
Below is a relaxed structure of HoUPt6, with properties calculated at the PBE level.

Unit cell a=4.133 b=4.133 c=8.253 alpha=90.00 beta=90.00 gamma=90.00
Atoms (fractional coordinates):
Ho 0.000 0.000 0.000
U 0.000 0.000 0.500
Pt 0.000 0.500 0.253
Pt 0.000 0.500 0.747
Pt 0.500 0.000 0.253
Pt 0.500 0.000 0.747
Pt 0.500 0.500 0.000
Pt 0.500 0.500 0.500

## Properties
**Total DFT energy (no corrections)**: -7.4435 eV per atom
**Formation enthalpy at 0 K**: -930 meV/atom
**SG**: No. 123
**Magnetic moment**: 0.1530 μB/atom

# 9
Below is a relaxed structure of HoUPt2, with properties calculated at the PBE level.

Unit cell a=5.055 b=5.055 c=3.303 alpha=90.00 beta=90.00 gamma=90.00
Atoms (fractional coordinates):
Ho 0.000 0.000 0.000
U 0.500 0.500 0.000
Pt 0.000 0.500 0.500
Pt 0.500 0.000 0.500

## Properties
**Total DFT energy (no corrections)**: -7.8294 eV per atom
**Formation enthalpy at 0 K**: -842 meV/atom
**SG**: No. 123
**Magnetic moment**: 0.6865 μB/atom

# 10
Below is a relaxed structure of HoVPt2, with properties calculated at the PBE level.

Unit cell a=4.351 b=4.351 c=14.219 alpha=90.00 beta=90.00 gamma=120.00
Atoms (fractional coordinates):
Ho 0.000 0.000 0.000
Ho 0.333 0.667 0.667
Ho 0.667 0.333 0.333
V 0.000 0.000 0.500
V 0.333 0.667 0.167
V 0.667 0.333 0.833
Pt 0.000 0.000 0.210
Pt 0.000 0.000 0.790
Pt 0.333 0.667 0.457
Pt 0.333 0.667 0.877
Pt 0.667 0.333 0.123
Pt 0.667 0.333 0.543

## Properties
**Total DFT energy (no corrections)**: -7.1825 eV per atom
**Formation enthalpy at 0 K**: -738 meV/atom
**SG**: No. 166
**Magnetic moment**: 0.1323 μB/atom

# 11
Below is a relaxed structure of HoVPt2, with properties calculated at the PBE level.

Unit cell a=4.427 b=4.427 c=3.676 alpha=90.00 beta=90.00 gamma=90.00
Atoms (fractional coordinates):
Ho 0.000 0.000 0.000
V 0.500 0.500 0.000
Pt 0.000 0.500 0.500
Pt 0.500 0.000 0.500

## Properties
**Total DFT energy (no corrections)**: -7.1240 eV per atom
**Formation enthalpy at 0 K**: -679 meV/atom
**SG**: No. 123
**Magnetic moment**: 0.7388 μB/atom

# 12
Below is a relaxed structure of YHoPt6, with properties calculated at the PBE level.

Unit cell a=4.118 b=4.118 c=8.235 alpha=90.00 beta=90.00 gamma=90.00
Atoms (fractional coordinates):
Y 0.000 0.000 0.000
Ho 0.000 0.000 0.500
Pt 0.000 0.500 0.251
Pt 0.000 0.500 0.749
Pt 0.500 0.000 0.251
Pt 0.500 0.000 0.749
Pt 0.500 0.500 0.000
Pt 0.500 0.500 0.500

## Properties
**Total DFT energy (no corrections)**: -6.9380 eV per atom
**Formation enthalpy at 0 K**: -1027 meV/atom
**SG**: No. 123
**Magnetic moment**: 0.0000 μB/atom

# 13
Below is a relaxed structure of Y2HoPt, with properties calculated at the PBE level.

Unit cell a=3.895 b=3.895 c=27.268 alpha=90.00 beta=90.00 gamma=120.00
Atoms (fractional coordinates):
Y 0.000 0.000 0.000
Y 0.000 0.000 0.209
Y 0.333 0.667 0.667
Y 0.333 0.667 0.876
Y 0.667 0.333 0.333
Y 0.667 0.333 0.543
Ho 0.000 0.000 0.769
Ho 0.333 0.667 0.436
Ho 0.667 0.333 0.103
Pt 0.000 0.000 0.605
Pt 0.333 0.667 0.272
Pt 0.667 0.333 0.938

## Properties
**Total DFT energy (no corrections)**: -6.3789 eV per atom
**Formation enthalpy at 0 K**: -492 meV/atom
**SG**: No. 160
**Magnetic moment**: 0.0000 μB/atom

# 14
Below is a relaxed structure of YHo2Pt, with properties calculated at the PBE level.

Unit cell a=7.046 b=9.553 c=6.471 alpha=90.00 beta=90.00 gamma=90.00
Atoms (fractional coordinates):
Y 0.024 0.250 0.129
Y 0.476 0.750 0.629
Y 0.524 0.250 0.371
Y 0.976 0.750 0.871
Ho 0.180 0.061 0.678
Ho 0.180 0.439 0.678
Ho 0.320 0.561 0.178
Ho 0.320 0.939 0.178
Ho 0.680 0.061 0.822
Ho 0.680 0.439 0.822
Ho 0.820 0.561 0.322
Ho 0.820 0.939 0.322
Pt 0.111 0.750 0.446
Pt 0.389 0.250 0.946
Pt 0.611 0.750 0.054
Pt 0.889 0.250 0.554

## Properties
**Total DFT energy (no corrections)**: -6.1396 eV per atom
**Formation enthalpy at 0 K**: -725 meV/atom
**SG**: No. 62
**Magnetic moment**: 0.0000 μB/atom

# 15
Below is a relaxed structure of Y2HoPt, with properties calculated at the PBE level.

Unit cell a=3.779 b=3.779 c=28.598 alpha=90.00 beta=90.00 gamma=120.00
Atoms (fractional coordinates):
Y 0.000 0.000 0.230
Y 0.000 0.000 0.770
Y 0.333 0.667 0.437
Y 0.333 0.667 0.896
Y 0.667 0.333 0.104
Y 0.667 0.333 0.563
Ho 0.000 0.000 0.000
Ho 0.333 0.667 0.667
Ho 0.667 0.333 0.333
Pt 0.000 0.000 0.500
Pt 0.333 0.667 0.167
Pt 0.667 0.333 0.833

## Properties
**Total DFT energy (no corrections)**: -6.3503 eV per atom
**Formation enthalpy at 0 K**: -464 meV/atom
**SG**: No. 166
**Magnetic moment**: 0.0001 μB/atom

# 16
Below is a relaxed structure of YHo2Pt, with properties calculated at the PBE level.

Unit cell a=3.565 b=3.565 c=8.390 alpha=90.00 beta=90.00 gamma=90.00
Atoms (fractional coordinates):
Y 0.000 0.000 0.000
Ho 0.500 0.500 0.306
Ho 0.500 0.500 0.694
Pt 0.000 0.000 0.500

## Properties
**Total DFT energy (no corrections)**: -6.0157 eV per atom
**Formation enthalpy at 0 K**: -601 meV/atom
**SG**: No. 123
**Magnetic moment**: 0.0001 μB/atom

# 17
Below is a relaxed structure of Y3Ho3Pt2, with properties calculated at the PBE level.

Unit cell a=6.848 b=6.848 c=18.358 alpha=90.00 beta=90.00 gamma=148.01
Atoms (fractional coordinates):
Y 0.057 0.943 0.588
Y 0.057 0.943 0.912
Y 0.295 0.705 0.750
Y 0.705 0.295 0.250
Y 0.943 0.057 0.088
Y 0.943 0.057 0.412
Ho 0.330 0.670 0.556
Ho 0.330 0.670 0.944
Ho 0.430 0.570 0.250
Ho 0.570 0.430 0.750
Ho 0.670 0.330 0.056
Ho 0.670 0.330 0.444
Pt 0.287 0.713 0.135
Pt 0.287 0.713 0.365
Pt 0.713 0.287 0.635
Pt 0.713 0.287 0.865

## Properties
**Total DFT energy (no corrections)**: -6.2557 eV per atom
**Formation enthalpy at 0 K**: -605 meV/atom
**SG**: No. 63
**Magnetic moment**: 0.0001 μB/atom

# 18
Below is a relaxed structure of YHoPt2, with properties calculated at the PBE level.

Unit cell a=4.964 b=4.964 c=3.449 alpha=90.00 beta=90.00 gamma=90.00
Atoms (fractional coordinates):
Y 0.000 0.000 0.000
Ho 0.500 0.500 0.000
Pt 0.000 0.500 0.500
Pt 0.500 0.000 0.500

## Properties
**Total DFT energy (no corrections)**: -7.0043 eV per atom
**Formation enthalpy at 0 K**: -1223 meV/atom
**SG**: No. 123
**Magnetic moment**: 0.0000 μB/atom

# 19
Below is a relaxed structure of YHoPt, with properties calculated at the PBE level.

Unit cell a=4.008 b=4.008 c=20.441 alpha=90.00 beta=90.00 gamma=90.00
Atoms (fractional coordinates):
Y 0.000 0.000 0.000
Y 0.000 0.500 0.250
Y 0.500 0.000 0.750
Y 0.500 0.500 0.500
Ho 0.000 0.000 0.389
Ho 0.000 0.500 0.639
Ho 0.500 0.000 0.139
Ho 0.500 0.500 0.889
Pt 0.000 0.000 0.534
Pt 0.000 0.500 0.784
Pt 0.500 0.000 0.284
Pt 0.500 0.500 0.034

## Properties
**Total DFT energy (no corrections)**: -6.4457 eV per atom
**Formation enthalpy at 0 K**: -751 meV/atom
**SG**: No. 109
**Magnetic moment**: 0.0000 μB/atom

# 20
Below is a relaxed structure of YHoPt, with properties calculated at the PBE level.

Unit cell a=4.105 b=4.105 c=6.144 alpha=90.00 beta=90.00 gamma=120.00
Atoms (fractional coordinates):
Y 0.000 0.000 0.000
Ho 0.667 0.333 0.485
Pt 0.333 0.667 0.248

## Properties
**Total DFT energy (no corrections)**: -6.4537 eV per atom
**Formation enthalpy at 0 K**: -760 meV/atom
**SG**: No. 156
**Magnetic moment**: 0.0000 μB/atom